PbNCl2 GGA-PBE optimized geometry; formation energy without anion corrections = 0.856 eV per atom; distance to the lowest polymorph of the same formula = 421 meV per atom
1.0
0.0000 4.5144 4.5144
4.5144 0.0000 4.5144
4.5144 4.5144 0.0000
Pb N Cl
2 2 4
direct
0.1250 0.1250 0.1250
0.8750 0.8750 0.8750
0.3750 0.3750 0.3750
0.6250 0.6250 0.6250
0.0000 0.5000 0.5000
0.5000 0.0000 0.5000
0.5000 0.5000 0.0000
0.5000 0.5000 0.5000

***

Y3PaS6 GGA-PBE optimized geometry; formation energy without anion corrections = -1.949 eV per atom
1.0
11.0259 0.0000 0.0000
0.0000 3.9143 0.0000
-3.4600 0.0000 10.7330
Y Pa S
6 2 12
direct
0.0724 0.2500 0.1662
0.1797 0.7500 0.5018
0.3401 0.2500 0.9203
0.6599 0.7500 0.0797
0.8203 0.2500 0.4982
0.9276 0.7500 0.8338
0.4535 0.2500 0.3050
0.5465 0.7500 0.6950
0.0208 0.2500 0.3846
0.1009 0.2500 0.9328
0.2488 0.7500 0.2771
0.3111 0.7500 0.7488
0.3886 0.2500 0.5374
0.4183 0.7500 0.1009
0.5817 0.2500 0.8991
0.6114 0.7500 0.4626
0.6889 0.2500 0.2512
0.7512 0.2500 0.7229
0.8991 0.7500 0.0672
0.9792 0.7500 0.6154

***

Sr2TlCu GGA-PBE optimized geometry; energy relative to the elements = 0.063 eV/atom
1.0
-4.3454 4.3454 3.7472
4.3454 -4.3454 3.7472
4.3454 4.3454 -3.7472
Sr Tl Cu
4 2 2
direct
0.0857 0.6250 0.9607
0.3750 0.3357 0.4607
0.6643 0.1250 0.0393
0.8750 0.9143 0.5393
0.2500 0.7500 0.5000
0.5000 0.5000 0.0000
0.0000 0.0000 0.0000
0.7500 0.2500 0.5000

***

Tb2In2S7 GGA-PBE optimized geometry; formation energy without anion corrections = -1.004 eV per atom
1.0
4.0392 -6.0648 0.0000
4.0392 6.0648 0.0000
-2.8980 0.0000 6.3389
Tb In S
2 2 7
direct
0.1829 0.8171 0.0000
0.8171 0.1829 0.0000
0.2600 0.2600 0.6518
0.7400 0.7400 0.3482
0.0463 0.3991 0.7876
0.1706 0.1706 0.2564
0.3991 0.0463 0.7876
0.5000 0.5000 0.5000
0.6009 0.9537 0.2124
0.8294 0.8294 0.7436
0.9537 0.6009 0.2124

***

no.,total moment (μB/cell),DFT total energy (eV for the cell shown)
1,0.000,-24.60
2,2.769,-146.29
3,0.000,-19.14
4,0.000,-54.68